Crystalline K2ZrIn at its relaxed geometry. Source: the Alexandria database, functional GGA-PBE.

a b c (Å): 3.207 3.207 12.976
angles (deg): 90.00 90.00 90.00
Fractional positions:
K  0.000  0.000  0.512
K  0.000  0.000  0.988
In  0.500  0.500  0.750
Zr  0.500  0.500  0.250

Formation energy from the elements: 2.3 eV per formula unit
Crystal system: tetragonal
Electronic total energy: -11.15 eV per cell



Crystalline K2ZrIn at its relaxed geometry. Source: the Alexandria database, functional GGA-PBE.

a b c (Å): 10.771 10.771 4.641
angles (deg): 77.49 77.49 19.56
Last column: magnetic moment on the atom in μB.
Fractional positions:
K  0.405  0.405  0.593  0.00
K  0.095  0.095  0.907  0.00
Zr  0.250  0.250  0.250  0.44
In  0.750  0.750  0.750  0.00

Formation energy from the elements: 1.3 eV per formula unit
Crystal system: monoclinic
Electronic total energy: -12.23 eV per cell



Crystalline K2ZrIn at its relaxed geometry. Source: the Alexandria database, functional GGA-PBE.

a b c (Å): 3.293 3.293 13.300
angles (deg): 90.00 90.00 115.02
Fractional positions:
Zr  0.500  0.500  0.250
K  0.000  0.000  0.994
K  0.000  0.000  0.506
In  0.500  0.500  0.750

Formation energy from the elements: 2.2 eV per formula unit
Crystal system: orthorhombic
Electronic total energy: -11.29 eV per cell



> The highest formation energy from the elements belongs to which entry?

number 1



What did the third record say?
Crystalline K2ZrIn at its relaxed geometry. Source: the Alexandria database, functional GGA-PBE.

a b c (Å): 3.293 3.293 13.300
angles (deg): 90.00 90.00 115.02
Fractional positions:
Zr  0.500  0.500  0.250
K  0.000  0.000  0.994
K  0.000  0.000  0.506
In  0.500  0.500  0.750

Formation energy from the elements: 2.2 eV per formula unit
Crystal system: orthorhombic
Electronic total energy: -11.29 eV per cell